# 1
# RbLaTc3 | Alexandria via LeMat-Bulk | GGA-PBE | optimized geometry
# E_form = 2552 meV/atom
# E above lowest polymorph = 454.9 meV per atom
data_RbLaTc3
_symmetry_space_group_name_H-M 'P m -3 m'
_symmetry_Int_Tables_number 221
_symmetry_space_group_name_Hall '-P 4 2 3'
_cell_length_a 4.860
_cell_length_b 4.860
_cell_length_c 4.860
_cell_angle_alpha 90.00
_cell_angle_beta 90.00
_cell_angle_gamma 90.00
loop_
_atom_site_label
_atom_site_fract_x
_atom_site_fract_y
_atom_site_fract_z
Rb1 0.000 0.000 0.000
La1 0.500 0.500 0.500
Tc1 0.000 0.000 0.500



# 2
# UMo2Ru | Alexandria via LeMat-Bulk | GGA-PBE | optimized geometry
# E_form = 510 meV/atom
data_UMo2Ru
_symmetry_space_group_name_H-M 'R -3 m'
_symmetry_Int_Tables_number 166
_symmetry_space_group_name_Hall '-R 3 2"'
_cell_length_a 2.8137
_cell_length_b 2.8137
_cell_length_c 29.7264
_cell_angle_alpha 90.00
_cell_angle_beta 90.00
_cell_angle_gamma 120.00
loop_
_atom_site_label
_atom_site_fract_x
_atom_site_fract_y
_atom_site_fract_z
U1 0.0000 0.0000 0.0000
Mo1 0.0000 0.0000 0.0931
Ru1 0.0000 0.0000 0.5000